(1)
The following is a DFT calculation (PBE) of a relaxed structure of CeHfZnIr.

Properties
DFT formation energy: -360 meV per atom
Fermi-level density of states: 1.85 states/eV per atom

Lattice parameters (Å, degrees): 6.851 6.851 6.851 90.00 90.00 90.00
Space group F-43m (No. 216)
Symmetry-distinct sites (fractional):
Ce1 0.000 0.000 0.000 x4
Hf1 0.000 0.000 0.500 x4
Zn1 0.250 0.250 0.250 x4
Ir1 0.250 0.250 0.750 x4

=====

(2)
The following is a DFT calculation (PBE) of a relaxed structure of KLaCeHfO6.

Properties
Fermi-level density of states: 0.00 states/eV per atom
formation energy from raw total energies: -3.017 eV per atom

Lattice parameters (Å, degrees): 8.547 8.547 8.547 90.00 90.00 90.00
Space group F-43m (No. 216)
Symmetry-distinct sites (fractional):
K1 0.000 0.000 0.000 x4
La1 0.000 0.000 0.500 x4
Ce1 0.250 0.250 0.250 x4
Hf1 0.250 0.250 0.750 x4
O1 0.008 0.250 0.750 x24

=====

(3)
The following is a DFT calculation (PBE) of a relaxed structure of K3Ce3HfO8.

Properties
Fermi-level density of states: 0.73 states/eV per atom
formation energy from raw total energies: -2.786 eV per atom

Lattice parameters (Å, degrees): 7.0726 7.0726 19.0624 90.00 90.00 120.00
Space group R-3m (No. 166, hexagonal axes)
Symmetry-distinct sites (fractional):
K1 0.0000 0.5000 0.0000 x9
Ce1 0.0000 0.5000 0.5000 x9
Hf1 0.0000 0.0000 0.5000 x3
O1 0.0000 0.0000 0.2311 x6
O2 0.0350 0.5175 0.2244 x18

=====

(4)
The following is a DFT calculation (PBE) of a relaxed structure of KCeHfSnO6.

Properties
Fermi-level density of states: 0.86 states/eV per atom
formation energy from raw total energies: -2.546 eV per atom

Lattice parameters (Å, degrees): 8.212 8.212 8.212 90.00 90.00 90.00
Space group F-43m (No. 216)
Symmetry-distinct sites (fractional):
K1 0.000 0.000 0.000 x4
Ce1 0.000 0.000 0.500 x4
Hf1 0.250 0.250 0.750 x4
Sn1 0.250 0.250 0.250 x4
O1 0.000 0.250 0.250 x24

=====

(5)
The following is a DFT calculation (PBE) of a relaxed structure of K3Ce2HfS6.

Properties
Fermi-level density of states: 1.28 states/eV per atom
formation energy from raw total energies: -1.662 eV per atom

Lattice parameters (Å, degrees): 7.001 12.125 7.758 90.00 107.60 90.00
Space group C2/m (No. 12)
Symmetry-distinct sites (fractional):
K1 0.000 0.000 0.000 x2
K2 0.000 0.331 0.000 x4
Ce1 0.000 0.166 0.500 x4
Hf1 0.000 0.500 0.500 x2
S1 0.222 0.346 0.703 x8
S2 0.240 0.500 0.297 x4

=====

(6)
The following is a DFT calculation (PBE) of a relaxed structure of K2Ce2HfS6.

Properties
Fermi-level density of states: 1.36 states/eV per atom
formation energy from raw total energies: -1.730 eV per atom

Lattice parameters (Å, degrees): 7.031 11.981 7.859 90.00 107.35 90.00
Space group C2/m (No. 12)
Symmetry-distinct sites (fractional):
K1 0.000 0.170 0.000 x4
Ce1 0.000 0.335 0.500 x4
Hf1 0.000 0.000 0.500 x2
S1 0.219 0.155 0.695 x8
S2 0.237 0.000 0.305 x4

=====

(7)
The following is a DFT calculation (PBE) of a relaxed structure of K2Ce2HfSe6.

Properties
Fermi-level density of states: 1.40 states/eV per atom
formation energy from raw total energies: -1.580 eV per atom

Lattice parameters (Å, degrees): 7.292 12.437 8.212 90.00 107.49 90.00
Space group C2/m (No. 12)
Symmetry-distinct sites (fractional):
K1 0.000 0.171 0.000 x4
Ce1 0.000 0.334 0.500 x4
Hf1 0.000 0.000 0.500 x2
Se1 0.223 0.154 0.700 x8
Se2 0.237 0.000 0.301 x4

=====

(8)
The following is a DFT calculation (PBE) of a relaxed structure of K4Ce3HfTe8.

Properties
Fermi-level density of states: 1.59 states/eV per atom
formation energy from raw total energies: -1.209 eV per atom

Lattice parameters (Å, degrees): 9.0529 9.0529 24.8366 90.00 90.00 120.00
Space group R-3m (No. 166, hexagonal axes)
Symmetry-distinct sites (fractional):
K1 0.0000 0.0000 0.0000 x3
K2 0.0000 0.5000 0.0000 x9
Ce1 0.0000 0.5000 0.5000 x9
Hf1 0.0000 0.0000 0.5000 x3
Te1 0.0000 0.0000 0.2399 x6
Te2 0.0224 0.5112 0.2358 x18

=====

(9)
The following is a DFT calculation (PBE) of a relaxed structure of K3Ce2HfTe6.

Properties
Fermi-level density of states: 1.45 states/eV per atom
formation energy from raw total energies: -1.172 eV per atom

Lattice parameters (Å, degrees): 7.770 13.465 8.685 90.00 107.47 90.00
Space group C2/m (No. 12)
Symmetry-distinct sites (fractional):
K1 0.000 0.000 0.000 x2
K2 0.000 0.327 0.000 x4
Ce1 0.000 0.166 0.500 x4
Hf1 0.000 0.500 0.500 x2
Te1 0.225 0.345 0.709 x8
Te2 0.239 0.500 0.289 x4

=====

(10)
The following is a DFT calculation (PBE) of a relaxed structure of LaCeHf.

Properties
DFT formation energy: 138 meV per atom
energy relative to the lowest polymorph listed for this composition: 0.000 eV per atom
Fermi-level density of states: 1.76 states/eV per atom

Lattice parameters (Å, degrees): 3.634 3.634 13.035 90.00 90.00 90.00
Space group P4/nmm (No. 129, origin choice 2)
Symmetry-distinct sites (fractional):
La1 0.250 0.250 0.114 x2
Ce1 0.250 0.250 0.709 x2
Hf1 0.250 0.250 0.438 x2

=====

(11)
The following is a DFT calculation (PBE) of a relaxed structure of LaCeHf.

Properties
DFT formation energy: 164 meV per atom
energy relative to the lowest polymorph listed for this composition: 0.026 eV per atom
Fermi-level density of states: 1.73 states/eV per atom

Lattice parameters (Å, degrees): 3.345 3.345 14.953 90.00 90.00 90.00
Space group I4mm (No. 107)
Symmetry-distinct sites (fractional):
La1 0.000 0.000 0.000 x2
Ce1 0.000 0.000 0.321 x2
Hf1 0.000 0.000 0.669 x2

=====

(12)
The following is a DFT calculation (PBE) of a relaxed structure of La2CeHf.

Properties
DFT formation energy: 384 meV per atom
Fermi-level density of states: 1.90 states/eV per atom

Lattice parameters (Å, degrees): 3.3094 3.3094 36.7699 90.00 90.00 120.00
Space group R-3m (No. 166, hexagonal axes)
Symmetry-distinct sites (fractional):
La1 0.0000 0.0000 0.0835 x6
Ce1 0.0000 0.0000 0.5000 x3
Hf1 0.0000 0.0000 0.0000 x3

=====

(13)
The following is a DFT calculation (PBE) of a relaxed structure of LaCeHf.

Properties
DFT formation energy: 171 meV per atom
energy relative to the lowest polymorph listed for this composition: 0.033 eV per atom
Fermi-level density of states: 1.70 states/eV per atom

Lattice parameters (Å, degrees): 3.3828 3.3828 8.3021 90.00 90.00 120.00
Space group P3m1 (No. 156)
Symmetry-distinct sites (fractional):
La1 0.0000 0.0000 0.0000 x1
Ce1 0.3333 0.6667 0.6551 x1
Hf1 0.6667 0.3333 0.3413 x1